NaIn4Ir after structural relaxation. Source: Alexandria via LeMat-Bulk, functional PBE.

Computed properties:
Crystal system: orthorhombic

Lattice parameters (Å, degrees): 4.0808 7.6747 9.0331 90.00 90.00 90.00
Closest atoms and distances in Å follow each position.
Positions (direct):
In1 0.5000 0.0794 0.2500  2 Ir 2.88, 4 In 3.10
In2 0.5000 0.3208 0.5681  2 Ir 2.82, 1 In 3.01
In3 0.5000 0.6792 0.0681  2 Ir 2.82, 1 In 3.01
In4 0.5000 0.6792 0.4319  2 Ir 2.82, 1 In 3.01
In5 0.5000 0.3208 0.9319  2 Ir 2.82, 1 In 3.01
In6 0.0000 0.0000 0.0000  2 Ir 2.67
In7 0.0000 0.0000 0.5000  2 Ir 2.67
In8 0.5000 0.9206 0.7500  2 Ir 2.88, 4 In 3.10
Na1 0.0000 0.4093 0.2500  1 Ir 3.10, 6 In 3.25-3.34
Na2 0.0000 0.5907 0.7500  1 Ir 3.10, 6 In 3.25-3.34
Ir1 0.0000 0.1861 0.7500  8 In 2.67-2.88
Ir2 0.0000 0.8139 0.2500  8 In 2.67-2.88


CrCdPCl2 after structural relaxation. Source: Alexandria via LeMat-Bulk, functional PBE.

Computed properties:
Excess energy over the best structure of this formula in the dataset in meV/atom: 0.0
Formation energy (no corrections) in eV/atom: -0.174
Crystal system: tetragonal

Lattice parameters (Å, degrees): 4.7164 4.7164 4.9103 90.00 90.00 90.00
Closest atoms and distances in Å follow each position.
Positions (direct):
Cl1 0.5000 0.0000 0.0000  2 Cr 2.36
Cl2 0.0000 0.5000 0.0000  2 Cr 2.36
Cd1 0.5000 0.5000 0.5000  4 P 3.33, 8 Cl 3.40
Cr1 0.0000 0.0000 0.0000  4 Cl 2.36, 2 P 2.46
P1 0.0000 0.0000 0.5000  2 Cr 2.46


Cd3FeSi after structural relaxation. Source: Alexandria via LeMat-Bulk, functional PBE.

Computed properties:
Excess energy over the best structure of this formula in the dataset in meV/atom: 81.9
Formation energy (no corrections) in eV/atom: 0.964
Crystal system: cubic

Lattice parameters (Å, degrees): 5.0549 5.0549 5.0549 90.00 90.00 90.00
Closest atoms and distances in Å follow each position.
Positions (direct):
Cd1 0.0000 0.0000 0.5000  2 Si 2.53
Cd2 0.0000 0.5000 0.0000  2 Si 2.53
Cd3 0.5000 0.0000 0.0000  2 Si 2.53
Si1 0.0000 0.0000 0.0000  6 Cd 2.53
Fe1 0.5000 0.5000 0.5000  12 Cd 3.57


Hg2SbAs after structural relaxation. Source: Alexandria via LeMat-Bulk, functional PBE.

Computed properties:
Excess energy over the best structure of this formula in the dataset in meV/atom: 243.0
Formation energy (no corrections) in eV/atom: 0.279
Crystal system: monoclinic

Lattice parameters (Å, degrees): 4.7894 3.2879 6.3042 78.30 90.00 90.00
Closest atoms and distances in Å follow each position.
Positions (direct):
Hg1 0.0000 0.5322 0.5117  2 As 2.99, 2 Sb 3.15, 4 Hg 3.19-3.32
Hg2 0.0000 0.9678 0.9883  2 As 2.99, 2 Sb 3.15, 4 Hg 3.19-3.32
As1 0.5000 0.7500 0.7500  4 Hg 2.99, 2 Sb 3.25, 2 As 3.29
Sb1 0.5000 0.2500 0.2500  8 Hg 3.15-3.53, 2 As 3.25, 2 Sb 3.29


Number 1: VASP energy -22.1 eV per formula unit, DOS at the Fermi energy 0.38 states/eV/atom. Number 2: VASP energy -20.5 eV per formula unit, DOS at the Fermi energy 0.32 states/eV/atom. Number 3: VASP energy -11.8 eV per formula unit, DOS at the Fermi energy 2.76 states/eV/atom. Number 4: VASP energy -8.3 eV per formula unit, DOS at the Fermi energy 0.44 states/eV/atom.